The following is a DFT calculation (PBE with a Hubbard U) of a geometry-optimized MnCrCd2F6 structure.

Cell lengths 5.518, 5.678, 5.772 Å; angles 109.84, 109.75, 100.93 degrees
Positions (direct):
Mn 0.000 0.000 0.000
Cr 0.452 0.493 0.859
Cd 0.320 0.836 0.456
Cd 0.640 0.177 0.357
F 0.106 0.273 0.504
F 0.186 0.805 0.775
F 0.275 0.375 0.076
F 0.630 0.632 0.652
F 0.711 0.188 0.992
F 0.827 0.751 0.169

**Spin magnetization**: 9.00 μB/f.u.
**Raw total energy**: -4.9219 eV per atom